# LiTiCrSO8 PBE with a Hubbard U optimized geometry
data_LiTiCrSO8
_chemical_formula_sum 'Li3 Ti3 Cr3 S3 O24'
_cell_length_a 8.584
_cell_length_b 8.685
_cell_length_c 9.048
_cell_angle_alpha 63.17
_cell_angle_beta 63.47
_cell_angle_gamma 60.49
_space_group_name_H-M_alt 'P 1'
_space_group_IT_number 1
_space_group_name_Hall 'P 1'
loop_
_atom_site_label
_atom_site_fract_x
_atom_site_fract_y
_atom_site_fract_z
_atom_site_occupancy
Li1 0.000 0.000 0.000 1
Li2 0.235 0.627 0.063 1
Li3 0.612 0.994 0.095 1
Ti1 0.184 0.201 0.373 1
Ti2 0.478 0.478 0.510 1
Ti3 0.679 0.692 0.871 1
Cr1 0.087 0.381 0.695 1
Cr2 0.577 0.313 0.178 1
Cr3 0.798 0.087 0.701 1
S1 0.307 0.872 0.190 1
S2 0.368 0.809 0.684 1
S3 0.861 0.573 0.190 1
O1 0.062 0.450 0.192 1
O2 0.123 0.183 0.841 1
O3 0.128 0.340 0.501 1
O4 0.187 0.831 0.147 1
O5 0.197 0.807 0.830 1
O6 0.212 0.057 0.215 1
O7 0.227 0.493 0.648 1
O8 0.329 0.965 0.527 1
O9 0.356 0.732 0.350 1
O10 0.424 0.208 0.212 1
O11 0.464 0.632 0.642 1
O12 0.488 0.870 0.046 1
O13 0.499 0.835 0.730 1
O14 0.501 0.363 0.373 1
O15 0.521 0.528 0.026 1
O16 0.590 0.263 0.660 1
O17 0.737 0.510 0.362 1
O18 0.782 0.872 0.755 1
O19 0.785 0.155 0.158 1
O20 0.796 0.096 0.880 1
O21 0.827 0.549 0.055 1
O22 0.840 0.765 0.150 1
O23 0.849 0.532 0.748 1
O24 0.971 0.124 0.514 1
# Spin magnetization, μB per cell: 3.00
# E, eV per atom: -6.928